(1)
A plane-wave DFT calculation with GGA-PBE was carried out for a relaxed CuSnF2 crystal.

abc: 7.9128 7.9128 7.9128
angles: 23.18 23.18 23.18
Last column: nearest neighbours and their distance in Å.
Element x y z (fractional)
Sn1 0.5000 0.5000 0.5000  6 F 2.72
Cu1 0.0000 0.0000 0.0000  2 F 1.84
F1 0.9204 0.9204 0.9204  1 Cu 1.84
F2 0.0796 0.0796 0.0796  1 Cu 1.84

Uncorrected energy (Ry/atom): -0.306
Density of states at the Fermi level (states/eV per atom): 0.13

=====

(2)
A plane-wave DFT calculation with GGA-PBE was carried out for a relaxed CuSn2F crystal.

abc: 4.6357 4.6357 4.6357
angles: 60.00 60.00 60.00
Last column: nearest neighbours and their distance in Å.
Element x y z (fractional)
Sn1 0.2500 0.2500 0.2500  4 F 2.84, 4 Cu 2.84
Sn2 0.7500 0.7500 0.7500  4 F 2.84, 4 Cu 2.84
Cu1 0.5000 0.5000 0.5000  8 Sn 2.84
F1 0.0000 0.0000 0.0000  8 Sn 2.84

Uncorrected energy (Ry/atom): -0.297
Density of states at the Fermi level (states/eV per atom): 0.33

=====

(3)
A plane-wave DFT calculation with GGA-PBE was carried out for a relaxed CuSn3F crystal.

abc: 4.8846 4.8846 4.8846
angles: 90.00 90.00 90.00
Last column: nearest neighbours and their distance in Å.
Element x y z (fractional)
Sn1 0.0000 0.5000 0.0000  2 F 2.44
Sn2 0.0000 0.0000 0.5000  2 F 2.44
Sn3 0.5000 0.0000 0.0000  2 F 2.44
Cu1 0.5000 0.5000 0.5000  12 Sn 3.45
F1 0.0000 0.0000 0.0000  6 Sn 2.44

Uncorrected energy (Ry/atom): -0.270
Density of states at the Fermi level (states/eV per atom): 0.39

=====

| no. | formation energy from raw total energies (eV per atom) |
| --- | --- |
| 1 | -1.206 |
| 2 | -0.553 |
| 3 | -0.079 |